# BaTl2Te

A relaxed structure of BaTl2Te (PBE, Alexandria).

Calculated values
VASP energy ... -12.34 eV for the cell shown
Space-group type ... C2/m
Volume ... 148.33 Å³/f.u.

Cell and atoms, written as POSCAR:
```
BaTl2Te
1.0
7.2429 -0.0096 0.0017
5.7742 4.3725 0.0017
1.7344 0.5813 4.6760
Tl Ba Te
2 1 1
direct
0.5145 0.5145 0.4853
0.9855 0.9855 0.0147
0.7500 0.7500 0.7500
0.2500 0.2500 0.2500
```


# CsTlP2S

A relaxed structure of CsTlP2S (PBE, Alexandria).

Calculated values
VASP energy ... -15.25 eV for the cell shown
Space-group type ... P4/mmm
Volume ... 158.50 Å³/f.u.

Cell and atoms, written as POSCAR:
```
CsTlP2S
1.0
5.3590 0.0000 0.0000
0.0000 5.3590 0.0000
0.0000 0.0000 5.5192
S Tl P Cs
1 1 2 1
direct
0.0000 0.0000 0.5000
0.0000 0.0000 0.0000
0.5000 0.0000 0.0000
0.0000 0.5000 0.0000
0.5000 0.5000 0.5000
```